Ba2NbCo | PBE | relaxed Values from VASP.

Quantum ESPRESSO input file:
```
&SYSTEM
  ibrav = 0, nat = 8, ntyp = 3
/
ATOMIC_SPECIES
Ba 137.33 Ba.upf
Nb 92.91 Nb.upf
Co 58.93 Co.upf
CELL_PARAMETERS angstrom
-6.0298 6.0298 2.2646
6.0298 -6.0298 2.2646
6.0298 6.0298 -2.2646
ATOMIC_POSITIONS crystal
Ba 0.3750 0.1993 0.3243
Ba 0.8007 0.1250 0.1757
Ba 0.8750 0.0507 0.6757
Ba 0.9493 0.6250 0.8243
Nb 0.2500 0.7500 0.5000
Nb 0.5000 0.5000 0.0000
Co 0.0000 0.0000 0.0000
Co 0.7500 0.2500 0.5000
```

The calculation puts the energy above the most stable polymorph in this dataset at 0.000 eV/atom.

=====

Sm2YEr9 | PBE | relaxed Values from VASP.

Quantum ESPRESSO input file:
```
&SYSTEM
  ibrav = 0, nat = 12, ntyp = 3
/
ATOMIC_SPECIES
Sm 150.36 Sm.upf
Y 88.91 Y.upf
Er 167.26 Er.upf
CELL_PARAMETERS angstrom
4.9966 0.0000 0.0000
0.0000 4.9966 0.0000
0.0000 0.0000 14.9860
ATOMIC_POSITIONS crystal
Sm 0.0000 0.0000 0.1669
Sm 0.0000 0.0000 0.8331
Y 0.0000 0.0000 0.5000
Er 0.0000 0.5000 0.0000
Er 0.0000 0.5000 0.3339
Er 0.0000 0.5000 0.6661
Er 0.5000 0.0000 0.0000
Er 0.5000 0.0000 0.3339
Er 0.5000 0.0000 0.6661
Er 0.5000 0.5000 0.1672
Er 0.5000 0.5000 0.5000
Er 0.5000 0.5000 0.8328
```

The calculation puts the energy above the most stable polymorph in this dataset at 0.000 eV/atom.